Compound: MgAl3Cu4
Source: Alexandria via LeMat-Bulk
Functional: PBE-GGA
Structure: relaxed

abc: 8.5942 5.7344 4.5073
angles: 90.00 90.00 90.00
With the nearest neighbours (Å) after each atom.
Space group Pmma (No. 51)
One atom of each set of equivalent atoms:
Mg1 0.0000 0.0000 0.0000 (multiplicity 2)  8 Cu 2.67-2.70, 4 Al 2.87-2.90
Al1 0.0000 0.5000 0.0000 (multiplicity 2)  8 Cu 2.58-2.64, 2 Al 2.80, 2 Mg 2.87
Al2 0.2500 0.0000 0.4319 (multiplicity 2)  8 Cu 2.57-2.86, 2 Al 2.87
Al3 0.2500 0.5000 0.3993 (multiplicity 2)  8 Cu 2.59-2.65, 4 Al 2.80-2.87
Cu1 0.0000 0.2605 0.5000 (multiplicity 4)  6 Al 2.59-2.64, 2 Mg 2.70, 3 Cu 2.75-2.79
Cu2 0.2500 0.2637 0.8939 (multiplicity 4)  6 Al 2.57-2.86, 2 Mg 2.67, 3 Cu 2.71-2.79

Summary:
**Formation energy**: -1.39 eV per formula unit